Model A:
Below is an optimized crystal structure of BeGa2Si, with properties calculated at the PBE level. Values from VASP.

Geometry as Quantum ESPRESSO input:
```
&SYSTEM
  ibrav = 0, nat = 4, ntyp = 3
/
ATOMIC_SPECIES
Be 9.01 Be.upf
Ga 69.72 Ga.upf
Si 28.09 Si.upf
CELL_PARAMETERS angstrom
0.000 3.127 3.127
3.127 0.000 3.127
3.127 3.127 0.000
ATOMIC_POSITIONS crystal
Be 0.000 0.000 0.000
Ga 0.250 0.250 0.250
Ga 0.750 0.750 0.750
Si 0.500 0.500 0.500
```

Model B:
Below is an optimized crystal structure of BeGa2Si, with properties calculated at the PBE level. Values from VASP.

Geometry as Quantum ESPRESSO input:
```
&SYSTEM
  ibrav = 0, nat = 8, ntyp = 3
/
ATOMIC_SPECIES
Be 9.01 Be.upf
Ga 69.72 Ga.upf
Si 28.09 Si.upf
CELL_PARAMETERS angstrom
-4.003 4.003 2.116
4.003 -4.003 2.116
4.003 4.003 -2.116
ATOMIC_POSITIONS crystal
Be 0.000 0.000 0.000
Be 0.750 0.250 0.500
Ga 0.028 0.625 0.903
Ga 0.375 0.278 0.403
Ga 0.722 0.125 0.097
Ga 0.875 0.972 0.597
Si 0.250 0.750 0.500
Si 0.500 0.500 0.000
```

Structures ranked by computed energy, the most stable listed first: model B, model A.

Model A:
Below is an optimized crystal structure of Be2Ga2Si, with properties calculated at the PBE level. Values from VASP.

Geometry as Quantum ESPRESSO input:
```
&SYSTEM
  ibrav = 0, nat = 5, ntyp = 3
/
ATOMIC_SPECIES
Be 9.01 Be.upf
Ga 69.72 Ga.upf
Si 28.09 Si.upf
CELL_PARAMETERS angstrom
-1.793 1.793 5.520
1.793 -1.793 5.520
1.793 1.793 -5.520
ATOMIC_POSITIONS crystal
Be 0.250 0.750 0.500
Be 0.750 0.250 0.500
Ga 0.112 0.112 0.000
Ga 0.888 0.888 0.000
Si 0.500 0.500 0.000
```

Model B:
Below is an optimized crystal structure of Be2Ga2Si, with properties calculated at the PBE level. Values from VASP.

Geometry as Quantum ESPRESSO input:
```
&SYSTEM
  ibrav = 0, nat = 10, ntyp = 3
/
ATOMIC_SPECIES
Be 9.01 Be.upf
Ga 69.72 Ga.upf
Si 28.09 Si.upf
CELL_PARAMETERS angstrom
7.420 0.000 0.000
0.000 7.420 0.000
0.000 0.000 2.489
ATOMIC_POSITIONS crystal
Be 0.147 0.353 0.000
Be 0.353 0.853 0.000
Be 0.647 0.147 0.000
Be 0.853 0.647 0.000
Ga 0.149 0.649 0.500
Ga 0.351 0.149 0.500
Ga 0.649 0.851 0.500
Ga 0.851 0.351 0.500
Si 0.000 0.000 0.500
Si 0.500 0.500 0.500
```

Structures ranked by computed energy, the most stable listed first: model B, model A.

Model A:
Below is an optimized crystal structure of Sm2BeGa, with properties calculated at the PBE level. Values from VASP.

Geometry as Quantum ESPRESSO input:
```
&SYSTEM
  ibrav = 0, nat = 4, ntyp = 3
/
ATOMIC_SPECIES
Sm 150.36 Sm.upf
Be 9.01 Be.upf
Ga 69.72 Ga.upf
CELL_PARAMETERS angstrom
3.551 0.000 0.000
0.000 3.551 0.000
0.000 0.000 7.219
ATOMIC_POSITIONS crystal
Sm 0.000 0.000 0.233
Sm 0.000 0.000 0.767
Be 0.500 0.500 0.000
Ga 0.500 0.500 0.500
```

Model B:
Below is an optimized crystal structure of Sm2BeGa, with properties calculated at the PBE level. Values from VASP.

Geometry as Quantum ESPRESSO input:
```
&SYSTEM
  ibrav = 0, nat = 4, ntyp = 3
/
ATOMIC_SPECIES
Sm 150.36 Sm.upf
Be 9.01 Be.upf
Ga 69.72 Ga.upf
CELL_PARAMETERS angstrom
0.000 3.578 3.578
3.578 0.000 3.578
3.578 3.578 0.000
ATOMIC_POSITIONS crystal
Sm 0.250 0.250 0.250
Sm 0.750 0.750 0.750
Be 0.000 0.000 0.000
Ga 0.500 0.500 0.500
```

Structures ranked by computed energy, the most stable listed first: model A, model B.